*a*
The following is a PBE calculation of crystalline GeRu2F at its relaxed geometry, from Alexandria.

The structure in POSCAR format:
```
GeRu2F
1.0
7.881 0.000 0.000
0.000 7.881 0.000
0.000 0.000 4.188
Ge Ru F
4 8 4
Direct
0.000 0.000 0.000
0.000 0.500 0.250
0.500 0.000 0.750
0.500 0.500 0.500
0.179 0.250 0.125
0.250 0.679 0.375
0.250 0.821 0.875
0.321 0.250 0.625
0.679 0.750 0.625
0.750 0.179 0.875
0.750 0.321 0.375
0.821 0.750 0.125
0.000 0.000 0.500
0.000 0.500 0.750
0.500 0.000 0.250
0.500 0.500 0.000
```

Properties
theoretical density: 7.50 g/cm3
SG: I-42d, No. 122

---

*b*
The following is a PBE calculation of crystalline GeRu2F at its relaxed geometry, from Alexandria.

The structure in POSCAR format:
```
GeRu2F
1.0
5.964 0.000 0.000
0.000 5.964 0.000
0.000 0.000 5.964
Ge Ru F
4 8 4
Direct
0.000 0.000 0.000
0.000 0.500 0.500
0.500 0.000 0.500
0.500 0.500 0.000
0.250 0.250 0.250
0.250 0.250 0.750
0.250 0.750 0.250
0.250 0.750 0.750
0.750 0.250 0.250
0.750 0.250 0.750
0.750 0.750 0.250
0.750 0.750 0.750
0.000 0.000 0.500
0.000 0.500 0.000
0.500 0.000 0.000
0.500 0.500 0.500
```

Properties
theoretical density: 9.20 g/cm3
SG: Fm-3m, No. 225

---

Of them, *a* has the lowest stability.

---

*a*
The following is a PBE calculation of crystalline GeRuF2 at its relaxed geometry, from Alexandria.

The structure in POSCAR format:
```
GeRuF2
1.0
2.764 0.000 0.000
-1.382 2.394 0.000
0.000 0.000 23.894
Ge Ru F
3 3 6
Direct
0.000 0.000 0.000
0.333 0.667 0.667
0.667 0.333 0.333
0.000 0.000 0.500
0.333 0.667 0.167
0.667 0.333 0.833
0.000 0.000 0.416
0.000 0.000 0.584
0.333 0.667 0.082
0.333 0.667 0.251
0.667 0.333 0.749
0.667 0.333 0.918
```

Properties
theoretical density: 6.67 g/cm3
SG: R-3m, No. 166

---

*b*
The following is a PBE calculation of crystalline GeRuF2 at its relaxed geometry, from Alexandria.

The structure in POSCAR format:
```
GeRuF2
1.0
5.998 0.000 0.000
0.000 5.998 0.000
0.000 0.000 5.998
Ge Ru F
4 4 8
Direct
0.000 0.000 0.000
0.000 0.500 0.500
0.500 0.000 0.500
0.500 0.500 0.000
0.000 0.000 0.500
0.000 0.500 0.000
0.500 0.000 0.000
0.500 0.500 0.500
0.250 0.250 0.250
0.250 0.250 0.750
0.250 0.750 0.250
0.250 0.750 0.750
0.750 0.250 0.250
0.750 0.250 0.750
0.750 0.750 0.250
0.750 0.750 0.750
```

Properties
theoretical density: 6.52 g/cm3
SG: Fm-3m, No. 225

---

Of them, *b* has the lowest stability.

---

*a*
The following is a PBE calculation of crystalline GeRuF2 at its relaxed geometry, from Alexandria.

The structure in POSCAR format:
```
GeRuF2
1.0
5.447 0.000 0.000
0.000 5.447 0.000
0.000 0.000 9.650
Ge Ru F
4 4 8
Direct
0.000 0.000 0.000
0.000 0.500 0.250
0.500 0.000 0.750
0.500 0.500 0.500
0.000 0.000 0.500
0.000 0.500 0.750
0.500 0.000 0.250
0.500 0.500 0.000
0.240 0.250 0.125
0.250 0.740 0.375
0.250 0.760 0.875
0.260 0.250 0.625
0.740 0.750 0.625
0.750 0.240 0.875
0.750 0.260 0.375
0.760 0.750 0.125
```

Properties
theoretical density: 4.91 g/cm3
SG: I-42d, No. 122

---

*b*
The following is a PBE calculation of crystalline GeRuF2 at its relaxed geometry, from Alexandria.

The structure in POSCAR format:
```
GeRuF2
1.0
2.839 0.000 0.000
-1.420 2.459 0.000
0.000 0.000 23.768
Ge Ru F
3 3 6
Direct
0.000 0.000 0.000
0.333 0.667 0.667
0.667 0.333 0.333
0.000 0.000 0.500
0.333 0.667 0.167
0.667 0.333 0.833
0.000 0.000 0.088
0.000 0.000 0.912
0.333 0.667 0.579
0.333 0.667 0.754
0.667 0.333 0.246
0.667 0.333 0.421
```

Properties
theoretical density: 6.36 g/cm3
SG: R-3m, No. 166

---

Of them, *a* has the lowest stability.

---

*a*
The following is a PBE calculation of crystalline Ge2RuF at its relaxed geometry, from Alexandria.

The structure in POSCAR format:
```
Ge2RuF
1.0
5.430 0.000 0.000
0.000 5.430 0.000
0.000 0.000 11.047
Ge Ru F
8 4 4
Direct
0.241 0.250 0.125
0.250 0.741 0.375
0.250 0.759 0.875
0.259 0.250 0.625
0.741 0.750 0.625
0.750 0.241 0.875
0.750 0.259 0.375
0.759 0.750 0.125
0.000 0.000 0.000
0.000 0.500 0.250
0.500 0.000 0.750
0.500 0.500 0.500
0.000 0.000 0.500
0.000 0.500 0.750
0.500 0.000 0.250
0.500 0.500 0.000
```

Properties
theoretical density: 5.41 g/cm3
SG: I-42d, No. 122

---

*b*
The following is a PBE calculation of crystalline Ge2RuF at its relaxed geometry, from Alexandria.

The structure in POSCAR format:
```
Ge2RuF
1.0
6.153 0.000 0.000
0.000 6.153 0.000
0.000 0.000 6.153
Ge Ru F
8 4 4
Direct
0.250 0.250 0.250
0.250 0.250 0.750
0.250 0.750 0.250
0.250 0.750 0.750
0.750 0.250 0.250
0.750 0.250 0.750
0.750 0.750 0.250
0.750 0.750 0.750
0.000 0.000 0.000
0.000 0.500 0.500
0.500 0.000 0.500
0.500 0.500 0.000
0.000 0.000 0.500
0.000 0.500 0.000
0.500 0.000 0.000
0.500 0.500 0.500
```

Properties
theoretical density: 7.57 g/cm3
SG: Fm-3m, No. 225

---

Of them, *b* has the lowest stability.

---

*a*
The following is a PBE calculation of crystalline Ge3RuF at its relaxed geometry, from Alexandria.

The structure in POSCAR format:
```
Ge3RuF
1.0
4.403 0.000 0.000
0.000 4.403 0.000
0.000 0.000 4.403
Ge Ru F
3 1 1
Direct
0.000 0.000 0.500
0.000 0.500 0.000
0.500 0.000 0.000
0.500 0.500 0.500
0.000 0.000 0.000
```

Properties
theoretical density: 6.57 g/cm3
SG: Pm-3m, No. 221

---

*b*
The following is a PBE calculation of crystalline Ge3RuF at its relaxed geometry, from Alexandria.

The structure in POSCAR format:
```
Ge3RuF
1.0
4.770 0.000 0.000
0.000 4.770 0.000
0.000 0.000 4.770
Ge Ru F
3 1 1
Direct
0.000 0.000 0.500
0.000 0.500 0.000
0.500 0.000 0.000
0.000 0.000 0.000
0.500 0.500 0.500
```

Properties
theoretical density: 5.17 g/cm3
SG: Pm-3m, No. 221

---

Of them, *a* has the lowest stability.

---

*a*
The following is a PBE calculation of crystalline GeSF at its relaxed geometry, from Alexandria.

The structure in POSCAR format:
```
GeSF
1.0
0.000 4.920 5.085
4.425 0.000 5.085
4.425 4.920 0.000
Ge S F
4 4 4
Direct
0.087 0.663 0.663
0.337 0.913 0.913
0.663 0.087 0.087
0.913 0.337 0.337
0.273 0.273 0.477
0.477 0.477 0.273
0.523 0.523 0.727
0.727 0.727 0.523
0.002 0.002 0.748
0.252 0.252 0.998
0.748 0.748 0.002
0.998 0.998 0.252
```

Properties
theoretical density: 3.71 g/cm3
SG: Fddd, No. 70

---

*b*
The following is a PBE calculation of crystalline GeSF at its relaxed geometry, from Alexandria.

The structure in POSCAR format:
```
GeSF
1.0
13.594 0.000 0.000
0.000 3.717 0.000
-1.722 0.000 5.265
Ge S F
4 4 4
Direct
0.160 0.000 0.224
0.340 0.500 0.776
0.660 0.500 0.224
0.840 0.000 0.776
0.028 0.500 0.199
0.472 0.000 0.801
0.528 0.000 0.199
0.972 0.500 0.801
0.191 0.000 0.579
0.309 0.500 0.421
0.691 0.500 0.579
0.809 0.000 0.421
```

Properties
theoretical density: 3.09 g/cm3
SG: C2/m, No. 12

---

*c*
The following is a PBE calculation of crystalline GeSF at its relaxed geometry, from Alexandria.

The structure in POSCAR format:
```
GeSF
1.0
9.343 0.000 0.000
0.000 3.688 0.000
-1.227 0.000 8.143
Ge S F
4 4 4
Direct
0.041 0.000 0.273
0.459 0.500 0.727
0.541 0.500 0.273
0.959 0.000 0.727
0.075 0.500 0.918
0.425 0.000 0.082
0.575 0.000 0.918
0.925 0.500 0.082
0.121 0.000 0.625
0.379 0.500 0.375
0.621 0.500 0.625
0.879 0.000 0.375
```

Properties
theoretical density: 2.93 g/cm3
SG: C2/m, No. 12

---

Of them, *a* has the lowest stability.

---

*a*
The following is a PBE calculation of crystalline Ge3SF at its relaxed geometry, from Alexandria.

The structure in POSCAR format:
```
Ge3SF
1.0
5.012 0.000 0.000
0.000 5.012 0.000
0.000 0.000 5.012
Ge S F
3 1 1
Direct
0.000 0.000 0.500
0.000 0.500 0.000
0.500 0.000 0.000
0.000 0.000 0.000
0.500 0.500 0.500
```

Properties
theoretical density: 3.55 g/cm3
SG: Pm-3m, No. 221

---

*b*
The following is a PBE calculation of crystalline Ge3SF at its relaxed geometry, from Alexandria.

The structure in POSCAR format:
```
Ge3SF
1.0
4.658 0.000 0.000
0.000 4.658 0.000
0.000 0.000 4.658
Ge S F
3 1 1
Direct
0.000 0.000 0.500
0.000 0.500 0.000
0.500 0.000 0.000
0.500 0.500 0.500
0.000 0.000 0.000
```

Properties
theoretical density: 4.42 g/cm3
SG: Pm-3m, No. 221

---

Of them, *a* has the lowest stability.

---

*a*
The following is a PBE calculation of crystalline Ge2SF at its relaxed geometry, from Alexandria.

The structure in POSCAR format:
```
Ge2SF
1.0
6.857 0.000 0.000
0.000 6.857 0.000
0.000 0.000 6.022
Ge S F
8 4 4
Direct
0.246 0.250 0.125
0.250 0.746 0.375
0.250 0.754 0.875
0.254 0.250 0.625
0.746 0.750 0.625
0.750 0.246 0.875
0.750 0.254 0.375
0.754 0.750 0.125
0.000 0.000 0.500
0.000 0.500 0.750
0.500 0.000 0.250
0.500 0.500 0.000
0.000 0.000 0.000
0.000 0.500 0.250
0.500 0.000 0.750
0.500 0.500 0.500
```

Properties
theoretical density: 4.61 g/cm3
SG: I-42d, No. 122

---

*b*
The following is a PBE calculation of crystalline Ge2SF at its relaxed geometry, from Alexandria.

The structure in POSCAR format:
```
Ge2SF
1.0
6.423 0.000 0.000
0.000 6.423 0.000
0.000 0.000 6.423
Ge S F
8 4 4
Direct
0.250 0.250 0.250
0.250 0.250 0.750
0.250 0.750 0.250
0.250 0.750 0.750
0.750 0.250 0.250
0.750 0.250 0.750
0.750 0.750 0.250
0.750 0.750 0.750
0.000 0.000 0.000
0.000 0.500 0.500
0.500 0.000 0.500
0.500 0.500 0.000
0.000 0.000 0.500
0.000 0.500 0.000
0.500 0.000 0.000
0.500 0.500 0.500
```

Properties
theoretical density: 4.92 g/cm3
SG: Fm-3m, No. 225

---

Of them, *b* has the lowest stability.